[1]
Entry from Alexandria: CeThSc2Sb4 after structural relaxation (PBE-GGA).

Lattice parameters (Å, degrees): 4.3602 7.4546 7.5463 70.29 90.00 90.00
Each line ends with the local moment (μB).
Sites, in units of the cell vectors:
Sb 0.5000 0.2263 0.7587  0.00
Sb 0.5000 0.7737 0.2413  0.00
Sb 0.0000 0.2272 0.2569  -0.01
Sb 0.0000 0.7728 0.7431  -0.01
Ce 0.5000 0.5000 0.0000  0.79
Th 0.0000 0.5000 0.5000  0.01
Sc 0.5000 0.0000 0.5000  0.01
Sc 0.0000 0.0000 0.0000  0.00

Results
- formation energy (no corrections) (eV per atom) = -0.960
- volume (Å³ per cell) = 230.91


[2]
Entry from Alexandria: MgZrGaHg after structural relaxation (PBE-GGA).

Lattice parameters (Å, degrees): 4.8585 4.8585 4.8585 60.00 60.00 60.00
Sites, in units of the cell vectors:
Zr 0.2500 0.2500 0.2500
Mg 0.7500 0.7500 0.7500
Hg 0.5000 0.5000 0.5000
Ga 0.0000 0.0000 0.0000

Results
- energy of formation from the pure elements (kcal/mol of atoms) = -3.693
- volume (Å³ per cell) = 81.09
- ΔE to the lowest computed polymorph (meV/atom) = 168.7


[3]
Entry from Alexandria: Sm4Y8Tm after structural relaxation (PBE-GGA).

Lattice parameters (Å, degrees): 11.0310 11.0310 7.8007 90.00 135.00 120.00
Each line ends with the local moment (μB).
Sites, in units of the cell vectors:
Y 0.9999 0.7588 0.2410  0.04
Y 0.5183 0.7591 0.2774  0.04
Y 0.0001 0.2412 0.7590  0.04
Y 0.4817 0.2409 0.7226  0.04
Y 0.4821 0.2411 0.2410  0.04
Y 0.0001 0.7589 0.7590  0.04
Y 0.9999 0.2411 0.2410  0.04
Y 0.5179 0.7589 0.7590  0.04
Tm 0.0000 0.5000 0.5000  0.05
Sm 0.0000 0.5000 0.0000  0.13
Sm 0.5000 0.5000 0.0000  0.13
Sm 0.0000 0.0000 0.0000  -0.06
Sm 0.5000 0.0000 0.0000  0.13

Results
- energy of formation from the pure elements (kcal/mol of atoms) = 11.717
- volume (Å³ per cell) = 474.69


[4]
Entry from Alexandria: RbCaBeSiPdSe after structural relaxation (PBE-GGA).

Lattice parameters (Å, degrees): 9.9554 4.1801 7.1921 90.00 91.48 90.00
Sites, in units of the cell vectors:
Si 0.2543 0.0000 0.4793
Si 0.2543 0.5000 0.9793
Rb 0.6049 0.5000 0.2894
Rb 0.6049 0.0000 0.7894
Be 0.2782 0.5000 0.6469
Be 0.2782 0.0000 0.1469
Se 0.8343 0.0000 0.4635
Se 0.8343 0.5000 0.9635
Ca 0.9825 0.5000 0.6345
Ca 0.9825 0.0000 0.1345
Pd 0.2511 0.5000 0.3125
Pd 0.2511 0.0000 0.8125

Results
- formation energy (no corrections) (eV per atom) = -0.785
- volume (Å³ per cell) = 299.20
- ΔE to the lowest computed polymorph (meV/atom) = 0.5


[5]
Entry from Alexandria: La2SbPN after structural relaxation (PBE-GGA).

Lattice parameters (Å, degrees): 5.9361 5.9361 4.1298 90.00 90.00 90.00
Sites, in units of the cell vectors:
Sb 0.0000 0.0000 0.0000
La 0.0000 0.5000 0.0000
La 0.5000 0.0000 0.0000
P 0.5000 0.5000 0.5000
N 0.0000 0.0000 0.5000

Results
- formation energy (no corrections) (eV per atom) = 0.182
- volume (Å³ per cell) = 145.52


[6]
Entry from Alexandria: LiPmGe2Pt5 after structural relaxation (PBE-GGA).

Lattice parameters (Å, degrees): 4.1734 4.1734 9.3941 90.00 90.00 90.00
Sites, in units of the cell vectors:
Ge 0.5000 0.5000 0.8698
Ge 0.5000 0.5000 0.1302
Pm 0.0000 0.0000 0.5000
Pt 0.5000 0.0000 0.2707
Pt 0.5000 0.0000 0.7293
Pt 0.5000 0.5000 0.5000
Pt 0.0000 0.5000 0.7293
Pt 0.0000 0.5000 0.2707
Li 0.0000 0.0000 0.0000

Results
- energy of formation from the pure elements (kcal/mol of atoms) = -16.468
- volume (Å³ per cell) = 163.62


[7]
Entry from Alexandria: Sm2TlHg3 after structural relaxation (PBE-GGA).

Lattice parameters (Å, degrees): 3.7725 4.6929 10.0199 103.54 100.85 90.00
Sites, in units of the cell vectors:
Tl 0.4592 0.9592 0.9185
Hg 0.3046 0.8046 0.6093
Hg 0.5435 0.5435 0.0870
Hg 0.6943 0.6943 0.3885
Sm 0.1163 0.1163 0.2326
Sm 0.8821 0.3821 0.7641

Results
- energy of formation from the pure elements (kcal/mol of atoms) = -4.774
- volume (Å³ per cell) = 169.19
- ΔE to the lowest computed polymorph (meV/atom) = 160.3


[8]
Entry from Alexandria: Ce4PmTe7 after structural relaxation (PBE-GGA).

Lattice parameters (Å, degrees): 7.7012 7.7012 13.4671 75.95 75.95 33.06
Each line ends with the local moment (μB).
Sites, in units of the cell vectors:
Pm 0.1176 0.1176 0.5756  0.04
Ce 0.6987 0.6987 0.1898  1.04
Ce 0.3006 0.3006 0.8100  1.03
Ce 0.9998 0.9998 0.9991  0.96
Ce 0.8835 0.8835 0.4257  1.01
Te 0.3396 0.3396 0.0500  -0.03
Te 0.2596 0.2596 0.3492  -0.02
Te 0.7388 0.7388 0.6519  -0.02
Te 0.0370 0.0370 0.2163  -0.03
Te 0.9630 0.9630 0.7820  -0.02
Te 0.6601 0.6601 0.9500  -0.03
Te 0.5017 0.5017 0.5004  -0.02

Results
- formation energy (no corrections) (eV per atom) = -1.357
- volume (Å³ per cell) = 421.46


What is the formula in the fourth record?
RbCaBeSiPdSe